{"formula": "AlNiIO2", "functional": "GGA+U", "state": "optimized geometry", "cell": [[-3.6273, 0.1650, -0.1586], [-0.2079, -1.3233, 3.3786], [0.1751, 6.1906, 2.4355]], "species": ["I", "Ni", "Al", "O", "O"], "fractional_positions": [[0.0000, 0.0000, 0.5000], [0.5000, 0.5000, 0.5000], [0.0000, 0.0000, 0.0000], [0.0000, 0.5000, 0.0000], [0.5000, 0.0000, 0.0000]], "magmom_total_mub_per_atom": 0.184, "crystal_system": "tetragonal", "final_energy_ev_per_atom": -4.43}